No. 1
The following is a PBE calculation of a relaxed UInTcRh crystal, from the Alexandria database.

Structure (extended XYZ):
```
16
Lattice="6.662 0.000 0.000 0.000 6.662 0.000 0.000 0.000 6.662" Properties=species:S:1:pos:R:3 pbc="T T T"
U 0.000 0.000 0.000
U 0.000 3.331 3.331
U 3.331 0.000 3.331
U 3.331 3.331 0.000
In 0.000 0.000 3.331
In 0.000 3.331 0.000
In 3.331 0.000 0.000
In 3.331 3.331 3.331
Tc 1.666 1.666 1.666
Tc 1.666 4.997 4.997
Tc 4.997 1.666 4.997
Tc 4.997 4.997 1.666
Rh 1.666 1.666 4.997
Rh 1.666 4.997 1.666
Rh 4.997 1.666 1.666
Rh 4.997 4.997 4.997
```

## Properties
**ΔE_f**: -75.1 kJ/mol of formula units

---

No. 2
The following is a PBE calculation of a relaxed NaBiHPt2 crystal, from the Alexandria database.

Structure (extended XYZ):
```
5
Lattice="4.167 0.000 0.000 0.000 4.167 0.000 0.000 0.000 4.508" Properties=species:S:1:pos:R:3 pbc="T T T"
Na 0.000 0.000 0.000
Bi 2.084 2.084 0.000
H 0.000 0.000 2.254
Pt 0.000 2.084 2.254
Pt 2.084 0.000 2.254
```

## Properties
**Raw total energy**: -4.22 eV/atom

---

No. 3
The following is a PBE calculation of a relaxed AcPmSmCd crystal, from the Alexandria database.

Structure (extended XYZ):
```
4
Lattice="3.839 0.000 0.000 0.000 3.839 0.000 0.000 0.000 9.003" Properties=species:S:1:pos:R:3 pbc="T T T"
Ac 0.000 0.000 0.000
Pm 1.919 1.919 2.612
Sm 1.919 1.919 6.406
Cd 0.000 0.000 4.526
```

## Properties
**Polymorph energy (0 for the lowest one)**: 0 kJ/mol of formula units
**ΔE_f**: -54.1 kJ/mol of formula units

---

No. 4
The following is a PBE calculation of a relaxed Rb2GeWI6 crystal, from the Alexandria database.

Structure (extended XYZ):
```
10
Lattice="-4.166 4.166 5.925 4.166 -4.166 5.925 4.166 4.166 -5.925" Properties=species:S:1:pos:R:3 pbc="T T T"
Rb 4.166 0.000 2.963
Rb 0.000 4.166 2.963
Ge 0.000 0.000 0.000
W 0.000 0.000 5.925
I 2.152 2.152 0.000
I 2.014 -2.014 5.925
I 0.000 0.000 3.065
I 0.000 0.000 8.786
I -2.014 2.014 5.925
I 2.014 2.014 5.925
```

## Properties
**Raw formation energy**: -0.4381 eV/atom

---

No. 5
The following is a PBE calculation of a relaxed NaReBrN2 crystal, from the Alexandria database.

Structure (extended XYZ):
```
5
Lattice="4.379 0.000 0.000 0.000 4.379 0.000 0.000 0.000 4.731" Properties=species:S:1:pos:R:3 pbc="T T T"
Na 0.000 0.000 0.000
Re 2.189 2.189 0.000
Br 0.000 0.000 2.365
N 0.000 2.189 2.365
N 2.189 0.000 2.365
```

## Properties
**Raw formation energy**: 2.8266 eV/atom

---

No. 6
The following is a PBE calculation of a relaxed TaReIr crystal, from the Alexandria database.

Structure (extended XYZ):
```
3
Lattice="2.792 0.000 0.000 -1.396 2.418 0.000 0.000 0.000 7.039" Properties=species:S:1:pos:R:3 pbc="T T T"
Ta 0.000 0.000 0.000
Re 0.000 1.612 4.572
Ir 1.396 0.806 2.338
```

## Properties
**Polymorph energy (0 for the lowest one)**: 66 kJ/mol of formula units
**ΔE_f**: -15.0 kJ/mol of formula units

---

No. 7
The following is a PBE calculation of a relaxed BaUSe4 crystal, from the Alexandria database.

Structure (extended XYZ):
```
12
Lattice="7.724 -3.624 0.000 7.724 3.624 0.000 -0.993 0.000 6.669" Properties=species:S:1:pos:R:3 pbc="T T T"
Ba 2.930 0.000 1.706
Ba 11.523 0.000 4.962
U 6.253 0.000 4.686
U 8.201 0.000 1.983
Se 5.645 1.743 2.758
Se 7.724 1.837 0.000
Se 3.724 0.000 5.479
Se 8.809 1.743 3.911
Se 5.645 -1.743 2.758
Se 10.729 0.000 1.190
Se 7.724 -1.837 0.000
Se 8.809 -1.743 3.911
```

## Properties
**Polymorph energy (0 for the lowest one)**: 0 kJ/mol of formula units
**Raw formation energy**: -1.1978 eV/atom

---

No. 8
The following is a PBE calculation of a relaxed LiAg3Ir crystal, from the Alexandria database.

Structure (extended XYZ):
```
5
Lattice="4.339 0.000 0.000 0.000 4.339 0.000 0.000 0.000 4.339" Properties=species:S:1:pos:R:3 pbc="T T T"
Li 0.000 0.000 0.000
Ag 0.000 0.000 2.170
Ag 0.000 2.170 0.000
Ag 2.170 0.000 0.000
Ir 2.170 2.170 2.170
```

## Properties
**Polymorph energy (0 for the lowest one)**: 0 kJ/mol of formula units
**ΔE_f**: 360.1 kJ/mol of formula units